Density functional theory data (PBE) for a relaxed structure of SrCa2Br.

For the relative energy among the computed polymorphs, the calculation gives 0.024 eV/atom. For the magnetic moment, the calculation gives 0.000 μB/atom. Its uncorrected formation energy is -0.632 eV per atom. Its final energy is -2.471 eV/atom.

a = 3.9679 Å, b = 3.9679 Å, c = 11.1776 Å
α = 90.00°, β = 90.00°, γ = 116.68°
Positions (direct):
Sr 0.0000 0.0000 0.0000
Ca 0.5000 0.5000 0.2913
Ca 0.5000 0.5000 0.7087
Br 0.0000 0.0000 0.5000